Entry 1:
This record from the Alexandria database describes Ba2PuRe2N6 after structural relaxation. The functional is PBE-GGA.

extended XYZ file:
```
11
Lattice="-4.782 -2.963 -2.423 5.436 0.047 -3.043 -0.598 -3.960 6.022" Properties=species:S:1:pos:R:3 pbc="T T T"
Ba -1.199 -2.840 -1.903
Ba 1.255 -4.036 2.459
Pu -2.690 -3.461 1.800
Re -0.081 -5.948 -0.307
Re 0.138 -0.928 0.863
N -1.211 -4.779 0.492
N 3.873 -1.516 -1.856
N -1.387 -3.855 3.643
N -3.817 -5.361 2.412
N 1.443 -3.021 -3.087
N 1.267 -2.097 0.064
```

Calculated values
density of states at the Fermi level = 7.0 states/eV/f.u.
symmetry = C2/m (12)
raw formation energy = -0.701 eV per atom
E_tot = -9.158 eV per atom

=====

Entry 2:
This record from the Alexandria database describes TcSbH2 after structural relaxation. The functional is PBE-GGA.

extended XYZ file:
```
4
Lattice="-0.485 -2.996 0.282 2.828 1.115 0.234 -0.718 0.643 5.608" Properties=species:S:1:pos:R:3 pbc="T T T"
Tc -0.359 0.322 2.804
Sb 0.000 0.000 0.000
H 1.450 -0.011 2.385
H 0.175 -1.228 3.739
```

Calculated values
density of states at the Fermi level = 2.2 states/eV/f.u.
symmetry = P-3m1 (164)
energy above the lowest structure with this stoichiometry = 0.93 eV/f.u.
E_tot = -5.105 eV per atom

=====

Among the records above, which one has the highest density of states at the Fermi level? Ba2PuRe2N6

=====

Look up the density of states at the Fermi level of the first one. 7.0 states/eV/f.u.

=====

The highest E_tot belongs to which entry? TcSbH2

=====

Which formula does entry 2 have? TcSbH2